1.
YHoCu2As4, relaxed, DFT GGA-PBE; raw total energy = -5.46 eV/atom; V = 151 Å³/f.u.
1.0
3.910 0.000 0.000
0.000 3.910 0.000
0.000 0.000 9.854
Y Ho Cu As
1 1 2 4
direct
0.000 0.000 0.000
0.500 0.500 0.526
0.000 0.500 0.264
0.500 0.000 0.264
0.000 0.000 0.425
0.000 0.500 0.762
0.500 0.000 0.762
0.500 0.500 0.103


2.
Cu4AsPI2, relaxed, DFT GGA-PBE; raw total energy = -3.38 eV/atom; V = 183 Å³/f.u.
1.0
-2.927 2.927 5.356
2.927 -2.927 5.356
2.927 2.927 -5.356
Cu As P I
4 1 1 2
direct
0.140 0.185 0.564
0.425 0.860 0.045
0.621 0.575 0.436
0.815 0.379 0.955
0.750 0.250 0.500
0.500 0.500 0.000
0.000 0.000 0.000
0.250 0.750 0.500


Number 2 is which compound?
Cu4AsPI2


Which formula does entry 2 have?
Cu4AsPI2


What is the V in the second record?
183 Å³/f.u.


The highest raw total energy belongs to which entry?
Cu4AsPI2